(1)
Compound: BeGaFe6
Source: the Alexandria database
Functional: PBE
Structure: optimized geometry

## Properties
Calculated volume (Å³/cell): 365.3
Energy of formation from the pure elements (eV per atom): -0.069

abc: 6.1949 6.1949 10.1417
angles: 90.00 90.00 110.17
Fractional coordinates of all 32 atoms:
Be: 0.7519 0.2481 0.0000
Be: 0.2481 0.7519 0.0000
Be: 0.5000 0.5000 0.7542
Be: 0.5000 0.5000 0.2458
Ga: 0.7535 0.2465 0.5000
Ga: 0.2465 0.7535 0.5000
Ga: 0.0000 0.0000 0.7527
Ga: 0.0000 0.0000 0.2473
Fe: 0.7490 0.2510 0.7579
Fe: 0.1295 0.3830 0.8791
Fe: 0.8705 0.6170 0.8791
Fe: 0.2510 0.7490 0.7579
Fe: 0.6170 0.8705 0.8791
Fe: 0.3830 0.1295 0.8791
Fe: 0.5000 0.5000 0.5000
Fe: 0.8653 0.6190 0.6296
Fe: 0.6190 0.8653 0.6296
Fe: 0.7490 0.2510 0.2421
Fe: 0.1347 0.3810 0.3704
Fe: 0.8653 0.6190 0.3704
Fe: 0.2510 0.7490 0.2421
Fe: 0.6190 0.8653 0.3704
Fe: 0.3810 0.1347 0.3704
Fe: 0.5000 0.5000 0.0000
Fe: 0.8705 0.6170 0.1209
Fe: 0.6170 0.8705 0.1209
Fe: 0.0000 0.0000 0.5000
Fe: 0.3810 0.1347 0.6296
Fe: 0.1347 0.3810 0.6296
Fe: 0.0000 0.0000 0.0000
Fe: 0.3830 0.1295 0.1209
Fe: 0.1295 0.3830 0.1209

(2)
Compound: ZnCdHg
Source: the Alexandria database
Functional: PBE
Structure: optimized geometry

## Properties
Calculated volume (Å³/cell): 129.8
Energy above the lowest structure with this stoichiometry (meV per atom): 4.3
Energy of formation from the pure elements (eV per atom): 0.075

abc: 3.0492 3.0492 30.1161
angles: 135.86 135.86 68.13
Fractional coordinates of all 6 atoms:
Zn: 0.1662 0.1662 0.5647
Zn: 0.8338 0.8338 0.4353
Cd: 0.6570 0.6570 0.7200
Cd: 0.3430 0.3430 0.2800
Hg: 0.9257 0.9257 0.9010
Hg: 0.0743 0.0743 0.0990

(3)
Compound: BeHg2Ir
Source: the Alexandria database
Functional: PBE
Structure: optimized geometry

## Properties
Calculated volume (Å³/cell): 66.5
Energy of formation from the pure elements (eV per atom): 0.480

abc: 4.0661 4.0673 4.0214
angles: 90.00 90.00 90.00
Fractional coordinates of all 4 atoms:
Be: 0.0000 0.5000 0.5000
Ir: 0.5000 0.0000 0.5000
Hg: 0.0000 0.0000 0.0000
Hg: 0.5000 0.5000 0.0000

(4)
Compound: ScW3Au
Source: the Alexandria database
Functional: PBE
Structure: optimized geometry

## Properties
Calculated volume (Å³/cell): 96.9
Energy above the lowest structure with this stoichiometry (meV per atom): 120.6
Energy of formation from the pure elements (eV per atom): 2.382

abc: 4.5930 4.5930 4.5930
angles: 90.00 90.00 90.00
Fractional coordinates of all 5 atoms:
Sc: 0.0000 0.0000 0.0000
Au: 0.5000 0.5000 0.5000
W: 0.0000 0.5000 0.0000
W: 0.0000 0.0000 0.5000
W: 0.5000 0.0000 0.0000

(5)
Compound: TaReAsRu2
Source: the Alexandria database
Functional: PBE
Structure: optimized geometry

## Properties
Calculated volume (Å³/cell): 90.4
Energy of formation from the pure elements (eV per atom): 1.256

abc: 4.3802 4.7140 4.3802
angles: 90.00 90.00 90.00
Fractional coordinates of all 5 atoms:
Re: 0.5000 0.5000 0.5000
As: 0.0000 0.0000 0.0000
Ru: 0.0000 0.0000 0.5000
Ru: 0.5000 0.0000 0.0000
Ta: 0.0000 0.5000 0.0000

(6)
Compound: Er2Th2Al4Cu
Source: the Alexandria database
Functional: PBE
Structure: optimized geometry

## Properties
Calculated volume (Å³/cell): 211.7
Energy of formation from the pure elements (eV per atom): -0.174

abc: 6.5907 6.5907 6.5907
angles: 96.10 116.54 116.54
Fractional coordinates of all 9 atoms:
Er: 0.0000 0.6939 0.6939
Er: 0.0000 0.3061 0.3061
Th: 0.5000 0.7500 0.2500
Th: 0.5000 0.2500 0.7500
Al: 0.0000 0.7596 0.2404
Al: 0.5191 0.7596 0.7596
Al: 0.0000 0.2404 0.7596
Al: 0.4809 0.2404 0.2404
Cu: 0.0000 0.0000 0.0000

(7)
Compound: Li2H2Au
Source: the Alexandria database
Functional: PBE
Structure: optimized geometry

## Properties
Total DFT energy (no corrections) (eV per atom): -2.94
Calculated volume (Å³/cell): 54.3

abc: 2.9106 2.9323 7.3362
angles: 92.08 90.00 119.76
Fractional coordinates of all 5 atoms:
Li: 0.8267 0.1533 0.3513
Li: 0.1733 0.8467 0.6487
H: 0.8405 0.1811 0.6262
H: 0.1595 0.8189 0.3738
Au: 0.5000 0.5000 0.0000

(8)
Compound: Cr2TcHIr
Source: the Alexandria database
Functional: PBE
Structure: optimized geometry

## Properties
Calculated volume (Å³/cell): 55.0
Energy above the lowest structure with this stoichiometry (meV per atom): 42.7

abc: 3.8301 3.8301 3.7473
angles: 90.00 90.00 90.00
Fractional coordinates of all 5 atoms:
Cr: 0.0000 0.5000 0.0000
Cr: 0.5000 0.0000 0.0000
Ir: 0.0000 0.0000 0.5000
Tc: 0.5000 0.5000 0.5000
H: 0.0000 0.0000 0.0000

(9)
Compound: CaSm3Ho3Se8
Source: the Alexandria database
Functional: PBE
Structure: optimized geometry

## Properties
ΔE_f (raw) (eV/atom): -1.866
Calculated volume (Å³/cell): 392.5

abc: 8.1960 8.1962 8.2409
angles: 119.82 90.00 120.00
Fractional coordinates of all 15 atoms:
Ca: 0.0000 0.0000 0.5000
Sm: 0.0000 0.0000 0.0000
Sm: 0.0000 0.5000 0.0000
Sm: 0.5000 0.5000 0.0000
Ho: 0.5000 0.0000 0.5000
Ho: 0.5000 0.5000 0.5000
Ho: 0.0000 0.5000 0.5000
Se: 0.2534 0.5068 0.2602
Se: 0.7466 0.4932 0.7398
Se: 0.7471 0.4943 0.2539
Se: 0.2529 0.5057 0.7461
Se: 0.7471 0.0068 0.2539
Se: 0.2529 0.9932 0.7461
Se: 0.2596 0.0068 0.2539
Se: 0.7404 0.9932 0.7461

(10)
Compound: ScTl2Ag2
Source: the Alexandria database
Functional: PBE
Structure: optimized geometry

## Properties
Calculated volume (Å³/cell): 119.0
Energy above the lowest structure with this stoichiometry (meV per atom): 31.6
Energy of formation from the pure elements (eV per atom): 0.106

abc: 3.8796 3.8796 8.3662
angles: 76.59 76.59 90.00
Fractional coordinates of all 5 atoms:
Sc: 0.0000 0.0000 0.0000
Tl: 0.3967 0.3967 0.2066
Tl: 0.6033 0.6033 0.7934
Ag: 0.7500 0.2500 0.5000
Ag: 0.2500 0.7500 0.5000

(11)
Compound: BaCd2CuPd
Source: the Alexandria database
Functional: PBE
Structure: optimized geometry

## Properties
Calculated volume (Å³/cell): 138.5
Energy of formation from the pure elements (eV per atom): -0.145

abc: 5.2225 5.2225 5.0768
angles: 90.00 90.00 90.00
Fractional coordinates of all 5 atoms:
Cu: 0.0000 0.0000 0.5000
Ba: 0.5000 0.5000 0.5000
Pd: 0.0000 0.0000 0.0000
Cd: 0.0000 0.5000 0.0000
Cd: 0.5000 0.0000 0.0000

(12)
Compound: Ce2CuNiS5
Source: the Alexandria database
Functional: PBE
Structure: optimized geometry

## Properties
ΔE_f (raw) (eV/atom): -1.214
Calculated volume (Å³/cell): 349.8

abc: 3.8955 8.0624 11.4791
angles: 90.00 90.00 103.98
Fractional coordinates of all 18 atoms:
Ce: 0.8631 0.7262 0.8100
Ce: 0.1095 0.2190 0.6852
Ce: 0.1369 0.2738 0.3100
Ce: 0.8905 0.7810 0.1852
Cu: 0.5675 0.1350 0.9492
Cu: 0.4325 0.8650 0.4492
Ni: 0.8015 0.6029 0.5626
Ni: 0.1985 0.3971 0.0626
S: 0.3414 0.6827 0.0010
S: 0.6854 0.3707 0.8274
S: 0.4897 0.9794 0.7791
S: 0.2884 0.5769 0.6568
S: 0.9459 0.8919 0.5526
S: 0.6586 0.3173 0.5010
S: 0.3146 0.6293 0.3273
S: 0.5103 0.0206 0.2791
S: 0.7116 0.4231 0.1568
S: 0.0541 0.1081 0.0526

Question: The lowest calculated volume belongs to which entry?
Answer: Li2H2Au